BeGaCu | the Alexandria database | GGA-PBE | relaxed; E_form = 0.0668 eV/atom; final energy = -3.55 eV/atom
1.0
-2.218 -1.248 1.743
-0.782 -1.865 -2.329
3.975 -1.068 1.564
Be Cu Ga
1 1 1
direct
0.959 0.959 0.917 Be
0.607 0.607 0.213 Cu
0.285 0.285 0.569 Ga

Be2GaCu | the Alexandria database | GGA-PBE | relaxed; E_form = 0.4930 eV/atom; final energy = -3.15 eV/atom
1.0
6.608 0.000 0.000
0.000 6.608 0.000
3.304 3.304 2.338
Cu Be Ga
2 4 2
direct
0.250 0.750 0.500 Cu
0.500 0.500 0.000 Cu
0.375 0.401 0.750 Be
0.875 0.849 0.750 Be
0.599 0.125 0.250 Be
0.151 0.625 0.250 Be
0.750 0.250 0.500 Ga
0.000 0.000 0.000 Ga